Entry from Alexandria: crystalline TcSb2Mo at its relaxed geometry (PBE-GGA).

Unit cell a=3.1587 b=4.2258 c=5.7479 alpha=90.00 beta=94.28 gamma=90.00
Atoms (fractional coordinates):
Tc  0.0000  0.0000  0.0000
Sb  0.2096  0.5000  0.7507
Sb  0.7904  0.5000  0.2493
Mo  0.5000  0.0000  0.5000

The calculation puts the total energy at -6.79 eV per atom. Its total magnetization is 0.00 μB/atom. The calculation puts the volume at 76.5 Å³/cell. The formation energy (no corrections) is 0.570 eV per atom.

Entry from Alexandria: crystalline TcSbMo at its relaxed geometry (PBE-GGA).

Unit cell a=5.5009 b=5.5009 c=5.5009 alpha=146.60 beta=146.60 gamma=47.95
Atoms (fractional coordinates):
Tc  0.0000  0.0000  0.0000
Sb  0.6607  0.6607  0.0000
Mo  0.3332  0.3332  0.0000

The calculation puts the total energy at -8.23 eV per atom. Its total magnetization is 0.00 μB/atom. The calculation puts the volume at 50.2 Å³/cell. The formation energy (no corrections) is 0.211 eV per atom.

Entry from Alexandria: crystalline TcSb3Mo at its relaxed geometry (PBE-GGA).

Unit cell a=5.1390 b=5.1390 c=5.1390 alpha=90.00 beta=90.00 gamma=90.00
Atoms (fractional coordinates):
Tc  0.0000  0.0000  0.0000
Sb  0.0000  0.0000  0.5000
Sb  0.0000  0.5000  0.0000
Sb  0.5000  0.0000  0.0000
Mo  0.5000  0.5000  0.5000

The calculation puts the total energy at -5.60 eV per atom. Its total magnetization is 0.74 μB/atom. The calculation puts the volume at 135.7 Å³/cell. The formation energy (no corrections) is 1.117 eV per atom.

Number 1: E above lowest polymorph 503 meV per atom. Number 2: E above lowest polymorph 128 meV per atom. Number 3: E above lowest polymorph 982 meV per atom.